Record 1
The following is a DFT calculation (GGA-PBE) of an optimized crystal structure of EuScGaPt.

Cell and atoms, written as extended XYZ:
```
16
Lattice="6.997 0.000 0.000 0.000 6.997 0.000 0.000 0.000 6.997" Properties=species:S:1:pos:R:3 pbc="T T T"
Eu 0.000 0.000 0.000
Eu 0.000 3.498 3.498
Eu 3.498 0.000 3.498
Eu 3.498 3.498 0.000
Sc 0.000 0.000 3.498
Sc 0.000 3.498 0.000
Sc 3.498 0.000 0.000
Sc 3.498 3.498 3.498
Ga 1.749 1.749 5.248
Ga 1.749 5.248 1.749
Ga 5.248 1.749 1.749
Ga 5.248 5.248 5.248
Pt 1.749 1.749 1.749
Pt 1.749 5.248 5.248
Pt 5.248 1.749 5.248
Pt 5.248 5.248 1.749
```

Output
* crystal system: cubic
* calculated formation energy: -0.673 eV/atom
* total energy: -7.0911 eV/atom

Record 2
The following is a DFT calculation (GGA-PBE) of an optimized crystal structure of SmEuGaPt.

Cell and atoms, written as extended XYZ:
```
16
Lattice="7.267 0.000 0.000 0.000 7.267 0.000 0.000 0.000 7.267" Properties=species:S:1:pos:R:3 pbc="T T T"
Sm 0.000 0.000 0.000
Sm 0.000 3.633 3.633
Sm 3.633 0.000 3.633
Sm 3.633 3.633 0.000
Eu 0.000 0.000 3.633
Eu 0.000 3.633 0.000
Eu 3.633 0.000 0.000
Eu 3.633 3.633 3.633
Ga 1.817 1.817 1.817
Ga 1.817 5.450 5.450
Ga 5.450 1.817 5.450
Ga 5.450 5.450 1.817
Pt 1.817 1.817 5.450
Pt 1.817 5.450 1.817
Pt 5.450 1.817 1.817
Pt 5.450 5.450 5.450
```

Output
* crystal system: cubic
* calculated formation energy: -0.706 eV/atom
* total energy: -6.7216 eV/atom

Record 3
The following is a DFT calculation (GGA-PBE) of an optimized crystal structure of TbEuGaPt.

Cell and atoms, written as extended XYZ:
```
16
Lattice="7.204 0.000 0.000 0.000 7.204 0.000 0.000 0.000 7.204" Properties=species:S:1:pos:R:3 pbc="T T T"
Tb 0.000 0.000 0.000
Tb 0.000 3.602 3.602
Tb 3.602 0.000 3.602
Tb 3.602 3.602 0.000
Eu 0.000 0.000 3.602
Eu 0.000 3.602 0.000
Eu 3.602 0.000 0.000
Eu 3.602 3.602 3.602
Ga 1.801 1.801 1.801
Ga 1.801 5.403 5.403
Ga 5.403 1.801 5.403
Ga 5.403 5.403 1.801
Pt 1.801 1.801 5.403
Pt 1.801 5.403 1.801
Pt 5.403 1.801 1.801
Pt 5.403 5.403 5.403
```

Output
* crystal system: cubic
* calculated formation energy: -0.728 eV/atom
* total energy: -6.7208 eV/atom

Record 4
The following is a DFT calculation (GGA-PBE) of an optimized crystal structure of EuThGaPt.

Cell and atoms, written as extended XYZ:
```
16
Lattice="7.318 0.000 0.000 0.000 7.318 0.000 0.000 0.000 7.318" Properties=species:S:1:pos:R:3 pbc="T T T"
Eu 0.000 0.000 0.000
Eu 0.000 3.659 3.659
Eu 3.659 0.000 3.659
Eu 3.659 3.659 0.000
Th 0.000 0.000 3.659
Th 0.000 3.659 0.000
Th 3.659 0.000 0.000
Th 3.659 3.659 3.659
Ga 1.830 1.830 1.830
Ga 1.830 5.489 5.489
Ga 5.489 1.830 5.489
Ga 5.489 5.489 1.830
Pt 1.830 1.830 5.489
Pt 1.830 5.489 1.830
Pt 5.489 1.830 1.830
Pt 5.489 5.489 5.489
```

Output
* crystal system: cubic
* calculated formation energy: -0.655 eV/atom
* total energy: -7.3454 eV/atom

Record 5
The following is a DFT calculation (GGA-PBE) of an optimized crystal structure of EuTmGaPt.

Cell and atoms, written as extended XYZ:
```
16
Lattice="7.140 0.000 0.000 0.000 7.140 0.000 0.000 0.000 7.140" Properties=species:S:1:pos:R:3 pbc="T T T"
Eu 0.000 0.000 0.000
Eu 0.000 3.570 3.570
Eu 3.570 0.000 3.570
Eu 3.570 3.570 0.000
Tm 0.000 0.000 3.570
Tm 0.000 3.570 0.000
Tm 3.570 0.000 0.000
Tm 3.570 3.570 3.570
Ga 1.785 1.785 1.785
Ga 1.785 5.355 5.355
Ga 5.355 1.785 5.355
Ga 5.355 5.355 1.785
Pt 1.785 1.785 5.355
Pt 1.785 5.355 1.785
Pt 5.355 1.785 1.785
Pt 5.355 5.355 5.355
```

Output
* crystal system: cubic
* calculated formation energy: -0.739 eV/atom
* total energy: -6.6928 eV/atom

Record 6
The following is a DFT calculation (GGA-PBE) of an optimized crystal structure of EuYGaPt.

Cell and atoms, written as extended XYZ:
```
16
Lattice="7.200 0.000 0.000 0.000 7.200 0.000 0.000 0.000 7.200" Properties=species:S:1:pos:R:3 pbc="T T T"
Eu 0.000 0.000 0.000
Eu 0.000 3.600 3.600
Eu 3.600 0.000 3.600
Eu 3.600 3.600 0.000
Y 0.000 0.000 3.600
Y 0.000 3.600 0.000
Y 3.600 0.000 0.000
Y 3.600 3.600 3.600
Ga 1.800 1.800 1.800
Ga 1.800 5.400 5.400
Ga 5.400 1.800 5.400
Ga 5.400 5.400 1.800
Pt 1.800 1.800 5.400
Pt 1.800 5.400 1.800
Pt 5.400 1.800 1.800
Pt 5.400 5.400 5.400
```

Output
* crystal system: cubic
* calculated formation energy: -0.731 eV/atom
* total energy: -7.1828 eV/atom

Record 7
The following is a DFT calculation (GGA-PBE) of an optimized crystal structure of EuPuGa2.

Cell and atoms, written as extended XYZ:
```
4
Lattice="3.627 0.000 0.000 0.000 3.627 0.000 0.000 0.000 7.483" Properties=species:S:1:pos:R:3 pbc="T T T"
Eu 0.000 0.000 0.000
Pu 0.000 0.000 3.742
Ga 1.813 1.813 1.990
Ga 1.813 1.813 5.494
```

Output
* crystal system: tetragonal
* excess energy over the best structure of this formula in the dataset: 0 meV/atom
* calculated formation energy: -0.337 eV/atom
* total energy: -8.0016 eV/atom

Record 8
The following is a DFT calculation (GGA-PBE) of an optimized crystal structure of EuPu2Ga.

Cell and atoms, written as extended XYZ:
```
4
Lattice="4.562 0.000 0.000 0.000 4.562 0.000 0.000 0.000 4.943" Properties=species:S:1:pos:R:3 pbc="T T T"
Eu 0.000 0.000 0.000
Pu 0.000 2.281 2.472
Pu 2.281 0.000 2.472
Ga 2.281 2.281 0.000
```

Output
* crystal system: tetragonal
* excess energy over the best structure of this formula in the dataset: 0 meV/atom
* calculated formation energy: -0.022 eV/atom
* total energy: -10.5132 eV/atom

Record 9
The following is a DFT calculation (GGA-PBE) of an optimized crystal structure of EuPu2Ga.

Cell and atoms, written as extended XYZ:
```
4
Lattice="3.695 0.000 0.000 0.000 3.695 0.000 0.000 0.000 8.365" Properties=species:S:1:pos:R:3 pbc="T T T"
Eu 0.000 0.000 0.000
Pu 1.848 1.848 2.602
Pu 1.848 1.848 5.764
Ga 0.000 0.000 4.183
```

Output
* crystal system: tetragonal
* excess energy over the best structure of this formula in the dataset: 21 meV/atom
* calculated formation energy: -0.001 eV/atom
* total energy: -10.4918 eV/atom

Record 10
The following is a DFT calculation (GGA-PBE) of an optimized crystal structure of EuPuGa4.

Cell and atoms, written as extended XYZ:
```
6
Lattice="0.000 3.948 3.948 3.948 0.000 3.948 3.948 3.948 0.000" Properties=species:S:1:pos:R:3 pbc="T T T"
Eu 0.000 0.000 0.000
Pu 5.922 5.922 5.922
Ga 2.965 2.965 2.965
Ga 4.931 4.931 2.965
Ga 4.931 2.965 4.931
Ga 2.965 4.931 4.931
```

Output
* crystal system: cubic
* calculated formation energy: -0.403 eV/atom
* total energy: -6.5217 eV/atom

Record 11
The following is a DFT calculation (GGA-PBE) of an optimized crystal structure of EuPu2Ga.

Cell and atoms, written as extended XYZ:
```
16
Lattice="7.460 0.000 0.000 0.000 7.460 0.000 0.000 0.000 7.460" Properties=species:S:1:pos:R:3 pbc="T T T"
Eu 0.000 0.000 0.000
Eu 0.000 3.730 3.730
Eu 3.730 0.000 3.730
Eu 3.730 3.730 0.000
Pu 1.865 1.865 1.865
Pu 1.865 1.865 5.595
Pu 1.865 5.595 1.865
Pu 1.865 5.595 5.595
Pu 5.595 1.865 1.865
Pu 5.595 1.865 5.595
Pu 5.595 5.595 1.865
Pu 5.595 5.595 5.595
Ga 0.000 0.000 3.730
Ga 0.000 3.730 0.000
Ga 3.730 0.000 0.000
Ga 3.730 3.730 3.730
```

Output
* crystal system: cubic
* excess energy over the best structure of this formula in the dataset: 94 meV/atom
* calculated formation energy: 0.072 eV/atom
* total energy: -10.4193 eV/atom

Record 12
The following is a DFT calculation (GGA-PBE) of an optimized crystal structure of EuPuGa.

Cell and atoms, written as extended XYZ:
```
3
Lattice="5.198 0.000 0.000 -2.599 4.501 0.000 0.000 0.000 3.237" Properties=species:S:1:pos:R:3 pbc="T T T"
Eu 0.000 0.000 0.000
Pu 0.000 3.001 1.989
Ga 2.599 1.500 1.114
```

Output
* crystal system: trigonal
* excess energy over the best structure of this formula in the dataset: 103 meV/atom
* calculated formation energy: -0.017 eV/atom
* total energy: -9.2279 eV/atom

Record 13
The following is a DFT calculation (GGA-PBE) of an optimized crystal structure of EuPuGa2.

Cell and atoms, written as extended XYZ:
```
12
Lattice="3.314 0.000 0.000 -1.657 2.870 0.000 0.000 0.000 33.645" Properties=species:S:1:pos:R:3 pbc="T T T"
Eu 0.000 0.000 0.000
Eu 0.000 1.913 22.430
Eu 1.657 0.957 11.215
Pu 0.000 0.000 16.822
Pu 0.000 1.913 5.607
Pu 1.657 0.957 28.037
Ga 0.000 0.000 13.827
Ga 0.000 0.000 19.818
Ga 0.000 1.913 2.612
Ga 0.000 1.913 8.603
Ga 1.657 0.957 25.042
Ga 1.657 0.957 31.033
```

Output
* crystal system: trigonal
* excess energy over the best structure of this formula in the dataset: 532 meV/atom
* calculated formation energy: 0.195 eV/atom
* total energy: -7.4697 eV/atom

Record 14
The following is a DFT calculation (GGA-PBE) of an optimized crystal structure of EuPuGa.

Cell and atoms, written as extended XYZ:
```
6
Lattice="3.652 0.000 0.000 0.000 3.652 0.000 0.000 0.000 12.586" Properties=species:S:1:pos:R:3 pbc="T T T"
Eu 0.000 0.000 0.000
Eu 1.826 1.826 6.293
Pu 0.000 0.000 3.514
Pu 1.826 1.826 9.807
Ga 0.000 0.000 8.172
Ga 1.826 1.826 1.879
```

Output
* crystal system: tetragonal
* excess energy over the best structure of this formula in the dataset: 0 meV/atom
* calculated formation energy: -0.120 eV/atom
* total energy: -9.3309 eV/atom

Record 15
The following is a DFT calculation (GGA-PBE) of an optimized crystal structure of EuPuGaRh.

Cell and atoms, written as extended XYZ:
```
16
Lattice="7.117 0.000 0.000 0.000 7.117 0.000 0.000 0.000 7.117" Properties=species:S:1:pos:R:3 pbc="T T T"
Eu 0.000 0.000 0.000
Eu 0.000 3.559 3.559
Eu 3.559 0.000 3.559
Eu 3.559 3.559 0.000
Pu 0.000 0.000 3.559
Pu 0.000 3.559 0.000
Pu 3.559 0.000 0.000
Pu 3.559 3.559 3.559
Ga 1.779 1.779 1.779
Ga 1.779 5.338 5.338
Ga 5.338 1.779 5.338
Ga 5.338 5.338 1.779
Rh 1.779 1.779 5.338
Rh 1.779 5.338 1.779
Rh 5.338 1.779 1.779
Rh 5.338 5.338 5.338
```

Output
* crystal system: cubic
* calculated formation energy: -0.284 eV/atom
* total energy: -9.0304 eV/atom

Record 16
The following is a DFT calculation (GGA-PBE) of an optimized crystal structure of EuPuGaRu.

Cell and atoms, written as extended XYZ:
```
16
Lattice="7.044 0.000 0.000 0.000 7.044 0.000 0.000 0.000 7.044" Properties=species:S:1:pos:R:3 pbc="T T T"
Eu 0.000 0.000 0.000
Eu 0.000 3.522 3.522
Eu 3.522 0.000 3.522
Eu 3.522 3.522 0.000
Pu 0.000 0.000 3.522
Pu 0.000 3.522 0.000
Pu 3.522 0.000 0.000
Pu 3.522 3.522 3.522
Ga 1.761 1.761 5.283
Ga 1.761 5.283 1.761
Ga 5.283 1.761 1.761
Ga 5.283 5.283 5.283
Ru 1.761 1.761 1.761
Ru 1.761 5.283 5.283
Ru 5.283 1.761 5.283
Ru 5.283 5.283 1.761
```

Output
* crystal system: cubic
* calculated formation energy: -0.055 eV/atom
* total energy: -9.2819 eV/atom

Record 17
The following is a DFT calculation (GGA-PBE) of an optimized crystal structure of EuPuGaSb.

Cell and atoms, written as extended XYZ:
```
16
Lattice="7.545 0.000 0.000 0.000 7.545 0.000 0.000 0.000 7.545" Properties=species:S:1:pos:R:3 pbc="T T T"
Eu 0.000 0.000 0.000
Eu 0.000 3.772 3.772
Eu 3.772 0.000 3.772
Eu 3.772 3.772 0.000
Pu 0.000 0.000 3.772
Pu 0.000 3.772 0.000
Pu 3.772 0.000 0.000
Pu 3.772 3.772 3.772
Ga 1.886 1.886 5.659
Ga 1.886 5.659 1.886
Ga 5.659 1.886 1.886
Ga 5.659 5.659 5.659
Sb 1.886 1.886 1.886
Sb 1.886 5.659 5.659
Sb 5.659 1.886 5.659
Sb 5.659 5.659 1.886
```

Output
* formation energy from raw total energies: -0.444 eV/atom
* crystal system: cubic
* total energy: -8.3825 eV/atom

Record 18
The following is a DFT calculation (GGA-PBE) of an optimized crystal structure of EuPuTlGa.

Cell and atoms, written as extended XYZ:
```
16
Lattice="7.628 0.000 0.000 0.000 7.628 0.000 0.000 0.000 7.628" Properties=species:S:1:pos:R:3 pbc="T T T"
Eu 0.000 0.000 0.000
Eu 0.000 3.814 3.814
Eu 3.814 0.000 3.814
Eu 3.814 3.814 0.000
Pu 0.000 0.000 3.814
Pu 0.000 3.814 0.000
Pu 3.814 0.000 0.000
Pu 3.814 3.814 3.814
Tl 1.907 1.907 1.907
Tl 1.907 5.721 5.721
Tl 5.721 1.907 5.721
Tl 5.721 5.721 1.907
Ga 1.907 1.907 5.721
Ga 1.907 5.721 1.907
Ga 5.721 1.907 1.907
Ga 5.721 5.721 5.721
```

Output
* crystal system: cubic
* calculated formation energy: -0.196 eV/atom
* total energy: -7.6959 eV/atom

Record 19
The following is a DFT calculation (GGA-PBE) of an optimized crystal structure of RbEuGa4.

Cell and atoms, written as extended XYZ:
```
6
Lattice="0.000 4.151 4.151 4.151 0.000 4.151 4.151 4.151 0.000" Properties=species:S:1:pos:R:3 pbc="T T T"
Rb 0.000 0.000 0.000
Eu 2.076 2.076 2.076
Ga 5.181 3.121 3.121
Ga 3.121 5.181 3.121
Ga 3.121 3.121 5.181
Ga 5.181 5.181 5.181
```

Output
* crystal system: cubic
* calculated formation energy: -0.194 eV/atom
* total energy: -4.0856 eV/atom

Record 20
The following is a DFT calculation (GGA-PBE) of an optimized crystal structure of EuGa3Re.

Cell and atoms, written as extended XYZ:
```
5
Lattice="4.863 0.000 0.000 0.000 4.863 0.000 0.000 0.000 4.863" Properties=species:S:1:pos:R:3 pbc="T T T"
Eu 0.000 0.000 0.000
Ga 0.000 2.432 2.432
Ga 2.432 0.000 2.432
Ga 2.432 2.432 0.000
Re 2.432 2.432 2.432
```

Output
* crystal system: cubic
* calculated formation energy: -0.269 eV/atom
* total energy: -6.6294 eV/atom